# 1
DFT (PBE-GGA) results for a relaxed structure of Al2TcAs.

Unit cell a=4.724 b=4.724 c=4.547 alpha=97.78 beta=97.78 gamma=38.36
Sites, in units of the cell vectors:
Al 0.000 0.000 0.000
Al 0.245 0.245 0.739
Tc 0.501 0.501 0.516
As 0.777 0.777 0.283

Values from the calculation:
The energy of formation comes out at -0.173 eV/atom. The final energy comes out at -5.798 eV/atom.


# 2
DFT (PBE-GGA) results for a relaxed structure of NdSmSiPd.

Unit cell a=4.280 b=5.893 c=5.893 alpha=41.01 beta=90.00 gamma=90.00
Sites, in units of the cell vectors:
Nd 0.000 0.000 0.000
Sm 0.500 0.721 0.721
Si 0.500 0.434 0.434
Pd 0.000 0.287 0.287

Values from the calculation:
The value obtained for the formation energy from raw total energies is -764.7 meV/atom. The final energy comes out at -5.790 eV/atom. The energy above the most stable polymorph in this dataset is 0.0 meV/atom.


# 3
DFT (PBE-GGA) results for a relaxed structure of LiTiB.

Unit cell a=3.988 b=3.988 c=4.727 alpha=90.00 beta=90.00 gamma=120.00
Sites, in units of the cell vectors:
Li 0.000 0.000 0.000
Li 0.000 0.000 0.500
Ti 0.333 0.667 0.250
Ti 0.667 0.333 0.750
B 0.333 0.667 0.750
B 0.667 0.333 0.250

Values from the calculation:
The energy of formation comes out at -0.205 eV/atom. The final energy comes out at -5.701 eV/atom. The energy above the most stable polymorph in this dataset is 206.4 meV/atom.


# 4
DFT (PBE-GGA) results for a relaxed structure of PmPr2Dy3Ho6.

Unit cell a=6.191 b=6.191 c=11.791 alpha=95.01 beta=95.01 gamma=119.97
Sites, in units of the cell vectors:
Pm 0.000 0.000 0.000
Pr 0.333 0.667 0.000
Pr 0.667 0.333 0.000
Dy 0.167 0.833 0.500
Dy 0.500 0.500 0.500
Dy 0.833 0.167 0.500
Ho 0.085 0.418 0.254
Ho 0.248 0.248 0.746
Ho 0.418 0.085 0.254
Ho 0.582 0.915 0.746
Ho 0.752 0.752 0.254
Ho 0.915 0.582 0.746

Values from the calculation:
The energy of formation comes out at 0.019 eV/atom. The final energy comes out at -4.613 eV/atom.


# 5
DFT (PBE-GGA) results for a relaxed structure of PmAl3ZnAg.

Unit cell a=7.071 b=7.071 c=6.333 alpha=90.00 beta=90.00 gamma=129.44
Sites, in units of the cell vectors:
Pm 0.196 0.804 0.750
Pm 0.804 0.196 0.250
Al 0.217 0.217 0.000
Al 0.217 0.217 0.500
Al 0.371 0.629 0.250
Al 0.629 0.371 0.750
Al 0.783 0.783 0.000
Al 0.783 0.783 0.500
Zn 0.415 0.585 0.750
Zn 0.585 0.415 0.250
Ag 0.157 0.843 0.250
Ag 0.843 0.157 0.750

Values from the calculation:
The energy of formation comes out at -0.086 eV/atom. The final energy comes out at -3.437 eV/atom.


# 6
DFT (PBE-GGA) results for a relaxed structure of RbNi3Au.

Unit cell a=4.587 b=4.587 c=4.587 alpha=90.00 beta=90.00 gamma=90.00
Sites, in units of the cell vectors:
Rb 0.000 0.000 0.000
Ni 0.000 0.000 0.500
Ni 0.000 0.500 0.000
Ni 0.500 0.000 0.000
Au 0.500 0.500 0.500

Values from the calculation:
The energy of formation comes out at 2.072 eV/atom. The final energy comes out at -2.246 eV/atom. The energy above the most stable polymorph in this dataset is 1109.3 meV/atom.


# 7
DFT (PBE-GGA) results for a relaxed structure of TbErAu5.

Unit cell a=5.293 b=5.293 c=11.226 alpha=100.91 beta=100.91 gamma=100.59
Sites, in units of the cell vectors:
Tb 0.000 0.500 0.000
Tb 0.500 0.000 0.500
Er 0.187 0.813 0.750
Er 0.813 0.187 0.250
Au 0.064 0.281 0.541
Au 0.178 0.822 0.250
Au 0.281 0.064 0.041
Au 0.392 0.404 0.352
Au 0.404 0.392 0.852
Au 0.596 0.608 0.148
Au 0.608 0.596 0.648
Au 0.719 0.936 0.959
Au 0.822 0.178 0.750
Au 0.936 0.719 0.459

Values from the calculation:
The energy of formation comes out at -0.666 eV/atom. The final energy comes out at -4.320 eV/atom.


# 8
DFT (PBE-GGA) results for a relaxed structure of LiSmIn4Ag2.

Unit cell a=9.092 b=9.092 c=9.092 alpha=31.11 beta=31.11 gamma=31.11
Sites, in units of the cell vectors:
Li 0.000 0.000 0.000
Sm 0.500 0.500 0.500
In 0.112 0.112 0.112
In 0.371 0.371 0.371
In 0.629 0.629 0.629
In 0.888 0.888 0.888
Ag 0.254 0.254 0.254
Ag 0.746 0.746 0.746

Values from the calculation:
The energy of formation comes out at -0.228 eV/atom. The final energy comes out at -3.140 eV/atom.